The following is a PBE calculation of an optimized crystal structure of PrYBiI, from Alexandria via LeMat-Bulk.

Output
- Electronic total energy: -4.958 eV per atom
- D(E_F): 14.046 states/eV/cell

Unit cell a=7.8508 b=7.8508 c=7.8508 alpha=90.00 beta=90.00 gamma=90.00
Space group F-43m (No. 216)
Symmetry-distinct sites (fractional):
Pr1 0.0000 0.0000 0.0000
Y1 0.0000 0.0000 0.5000
Bi1 0.2500 0.2500 0.2500
I1 0.2500 0.2500 0.7500